[1]
This record from Alexandria describes a PBEsol-optimized structure of SrInSb. The functional is SCAN.

Structure (POSCAR):
```
SrInSb
1.0
4.584 0.000 0.000
-2.292 3.970 0.000
0.000 0.000 5.336
Sb Sr In
1 1 1
Cartesian
0.000 2.647 3.787
2.292 1.323 1.809
0.000 0.000 5.077
```

Uncorrected formation energy in meV/atom: -695
Space group: P3m1, No. 156

[2]
This record from Alexandria describes a PBEsol-optimized structure of Ba2Cd2Si. The functional is SCAN.

Structure (POSCAR):
```
Ba2Cd2Si
1.0
4.012 0.000 0.000
0.000 4.012 0.000
-2.006 -2.006 10.165
Ba Si Cd
2 1 2
Cartesian
0.000 0.000 8.292
2.006 2.006 1.873
0.000 0.000 0.000
0.000 2.006 5.082
2.006 0.000 5.082
```

Uncorrected formation energy in meV/atom: -161
Space group: I4/mmm, No. 139

[3]
This record from Alexandria describes a PBEsol-optimized structure of TmNiB4. The functional is SCAN.

Structure (POSCAR):
```
TmNiB4
1.0
-2.224 2.411 0.562
-2.699 -3.399 3.901
6.601 4.174 8.204
B Ni Tm
16 4 4
Cartesian
-3.222 -1.589 3.924
0.194 1.549 3.973
-0.516 0.083 7.452
-1.842 0.091 2.177
2.195 3.104 5.215
0.692 1.269 7.140
3.520 3.097 10.490
-1.137 0.380 3.722
-2.006 -0.688 4.867
3.397 4.021 6.041
1.485 1.638 8.694
0.987 1.918 5.527
4.900 4.777 8.743
-1.719 -0.834 6.626
2.815 2.807 8.945
3.684 3.875 7.800
-1.130 -1.787 3.194
1.543 -0.490 8.203
5.032 2.562 8.911
2.359 1.266 3.902
0.615 -0.673 5.315
3.253 0.581 10.375
0.649 0.195 1.730
3.287 1.448 6.790
```

Energy of formation from the pure elements in eV/atom: -0.63
Space group: Pbam, No. 55

[4]
This record from Alexandria describes a PBEsol-optimized structure of RbScAsBr2. The functional is SCAN.

Structure (POSCAR):
```
RbScAsBr2
1.0
5.214 0.000 0.000
0.000 5.371 0.000
0.000 0.000 5.371
As Br Sc Rb
1 2 1 1
Cartesian
2.607 0.000 0.000
0.000 0.000 2.686
0.000 2.686 0.000
0.000 0.000 0.000
2.607 2.686 2.686
```

Uncorrected formation energy in meV/atom: -1293
Space group: P4/mmm, No. 123

[5]
This record from Alexandria describes a PBEsol-optimized structure of La2HgRu. The functional is SCAN.

Structure (POSCAR):
```
La2HgRu
1.0
3.467 0.000 0.012
0.000 3.776 0.000
-1.133 0.000 7.650
Ru La Hg
1 2 1
Cartesian
1.734 1.888 0.006
-0.582 0.000 5.983
2.916 0.000 1.679
1.167 1.888 3.831
```

Energy of formation from the pure elements in eV/atom: -0.45
Space group: P2/m, No. 10

[6]
This record from Alexandria describes a PBEsol-optimized structure of Mn2PtSe. The functional is SCAN.

Structure (POSCAR):
```
Mn2PtSe
1.0
3.344 0.000 0.000
0.000 4.038 0.000
-1.672 -2.019 4.503
Mn Se Pt
2 1 1
Cartesian
1.672 0.000 2.396
1.672 2.019 4.461
0.000 2.019 2.099
1.672 2.019 0.049
```

Uncorrected formation energy in meV/atom: -342
Space group: Imm2, No. 44

[7]
This record from Alexandria describes a PBEsol-optimized structure of Ca2HfIr. The functional is SCAN.

Structure (POSCAR):
```
Ca2HfIr
1.0
4.980 0.000 0.000
2.490 4.313 0.000
2.490 1.438 4.066
Ca Hf Ir
2 1 1
Cartesian
7.470 4.313 3.050
2.490 1.438 1.017
0.000 0.000 0.000
4.980 2.875 2.033
```

Energy of formation from the pure elements in eV/atom: 0.46
Space group: Fm-3m, No. 225

[8]
This record from Alexandria describes a PBEsol-optimized structure of TaSbO4. The functional is SCAN.

Structure (POSCAR):
```
TaSbO4
1.0
4.942 0.000 0.000
0.000 5.555 0.000
0.000 0.000 11.821
O Ta Sb
16 4 4
Cartesian
2.421 0.870 9.499
2.068 5.126 7.037
2.521 3.647 9.499
4.892 4.685 3.588
0.403 5.126 10.695
2.874 0.428 4.785
2.874 2.349 7.037
4.892 3.647 8.233
2.521 4.685 2.322
2.421 1.907 2.322
0.050 0.870 8.233
4.539 0.428 1.126
2.068 3.206 4.785
0.403 3.206 1.126
4.539 2.349 10.695
0.050 1.907 3.588
1.236 3.429 2.955
1.236 4.903 8.866
3.707 2.126 8.866
3.707 0.651 2.955
3.472 4.166 5.911
3.941 4.166 0.000
1.470 1.389 5.911
1.001 1.389 0.000
```

Uncorrected formation energy in meV/atom: -2392
Space group: Pnna, No. 52